Record 1
First-principles (PBE-GGA) data for a geometry-optimized Pm2DyAlC structure, as listed in the Alexandria database.

Computed properties:
- Electronic total energy: -0.2091 Ha/atom
- Volume: 124.8 Å³ per cell
- Space group: P4/mmm (123)

abc: 4.8895 5.0512 5.0512
angles: 90.00 90.00 90.00
Closest atoms and distances in Å follow each position.
Fractional coordinates of all 5 atoms:
Pm1 0.0000 0.0000 0.5000  2 C 2.53
Pm2 0.0000 0.5000 0.0000  2 C 2.53
Al1 0.5000 0.5000 0.5000  8 Pm 3.52, 4 Dy 3.57
Dy1 0.5000 0.0000 0.0000  2 C 2.44
C1 0.0000 0.0000 0.0000  2 Dy 2.44, 4 Pm 2.53

---

Record 2
First-principles (PBE-GGA) data for a geometry-optimized PmDy2AlC structure, as listed in the Alexandria database.

Computed properties:
- Electronic total energy: -0.2099 Ha/atom
- Volume: 120.7 Å³ per cell
- Space group: P4/mmm (123)

abc: 5.0456 4.8918 4.8918
angles: 90.00 90.00 90.00
Closest atoms and distances in Å follow each position.
Fractional coordinates of all 5 atoms:
Dy1 0.0000 0.5000 0.0000  2 C 2.45
Dy2 0.0000 0.0000 0.5000  2 C 2.45
Al1 0.5000 0.5000 0.5000  4 Pm 3.46, 8 Dy 3.51
C1 0.0000 0.0000 0.0000  4 Dy 2.45, 2 Pm 2.52
Pm1 0.5000 0.0000 0.0000  2 C 2.52

---

Record 3
First-principles (PBE-GGA) data for a geometry-optimized Dy2Al2Si2C structure, as listed in the Alexandria database.

Computed properties:
- Uncorrected formation energy: -0.440 eV per atom
- Volume: 124.6 Å³ per cell
- Space group: I4/mmm (139)

abc: 4.1128 4.1128 7.9184
angles: 105.05 105.05 90.00
Closest atoms and distances in Å follow each position.
Fractional coordinates of all 7 atoms:
Si1 0.6295 0.6295 0.2590  4 Al 2.80, 5 Dy 2.95-3.07
Si2 0.3705 0.3705 0.7410  4 Al 2.80, 5 Dy 2.95-3.07
Dy1 0.8382 0.8382 0.6763  1 C 2.38
Dy2 0.1618 0.1618 0.3237  1 C 2.38
C1 0.0000 0.0000 0.0000  4 Al 2.06
Al1 0.0000 0.5000 0.0000  2 C 2.06
Al2 0.5000 0.0000 0.0000  2 C 2.06